Density functional theory data (GGA-PBE) for a relaxed structure of Cs3NaSc2Cl9.

Computed properties:
Energy: -4.23 eV/atom

Cell and atoms, written as CIF:
```
data_Cs3NaSc2Cl9
_space_group_name_H-M_alt 'P -3 m 1'
_space_group_IT_number 164
_space_group_name_Hall '-P 3 2"'
_cell_length_a 7.4697
_cell_length_b 7.4697
_cell_length_c 9.1999
_cell_angle_alpha 90.00
_cell_angle_beta 90.00
_cell_angle_gamma 120.00
loop_
_atom_site_label
_atom_site_type_symbol
_atom_site_fract_x
_atom_site_fract_y
_atom_site_fract_z
Cs1 Cs 0.0000 0.0000 0.0000
Cs2 Cs 0.3333 0.6667 0.6555
Na1 Na 0.0000 0.0000 0.5000
Sc1 Sc 0.3333 0.6667 0.1625
Cl1 Cl 0.0000 0.5000 0.0000
Cl2 Cl 0.1737 0.3474 0.3177
```